Entry from Alexandria via LeMat-Bulk: crystalline Be2CoCu at its relaxed geometry (PBE-GGA).

calculated volume: 38 Å³/cell
ΔE_f: -0.066 eV/atom
uncorrected energy: -18.92 eV for the cell shown

a = 2.6646 Å, b = 2.6646 Å, c = 5.2943 Å
α = 90.00°, β = 90.00°, γ = 90.00°
Closest atoms and distances in Å follow each position.
Space group P4mm (No. 99)
Unique sites:
Be 0.0000 0.0000 0.0000 (multiplicity 1)  4 Be 2.24, 4 Cu 2.30, 1 Co 2.33
Be 0.5000 0.5000 0.2304 (multiplicity 1)  4 Co 2.19, 4 Be 2.24
Co 0.0000 0.0000 0.4402 (multiplicity 1)  5 Be 2.19-2.33
Cu 0.5000 0.5000 0.7509 (multiplicity 1)  5 Be 2.30-2.54, 4 Co 2.50